# 1
## Rh2Au2Cl (GGA-PBE)

Data for a relaxed structure of Rh2Au2Cl.

Unit cell a=6.9686 b=6.9686 c=6.9686 alpha=147.66 beta=147.66 gamma=46.39
Closest atoms and distances in Å follow each position.
Fractional coordinates of all 5 atoms:
Rh  0.0943  0.0943  0.0000  1 Rh 2.42
Rh  0.9057  0.9057  0.0000  1 Rh 2.42
Au  0.2500  0.7500  0.5000  4 Au 2.74, 4 Rh 2.78
Au  0.7500  0.2500  0.5000  4 Au 2.74, 4 Rh 2.78
Cl  0.5000  0.5000  0.0000  8 Rh 3.00

Summary:
final energy = -4.0363 eV/atom
energy above the most stable polymorph in this dataset = 215 meV/atom
crystal system = tetragonal
energy relative to the elements, uncorrected = 2.92 eV per formula unit
V = 96.5 Å³/cell
density of states at the Fermi level = 3.23 states/eV/f.u.

---

# 2
## BaDy3Os (GGA-PBE)

Data for a relaxed structure of BaDy3Os.

Unit cell a=5.5509 b=5.5509 c=5.5509 alpha=90.00 beta=90.00 gamma=90.00
Closest atoms and distances in Å follow each position.
Fractional coordinates of all 5 atoms:
Ba  0.0000  0.0000  0.0000  12 Dy 3.93
Dy  0.0000  0.5000  0.5000  2 Os 2.78
Dy  0.5000  0.0000  0.5000  2 Os 2.78
Dy  0.5000  0.5000  0.0000  2 Os 2.78
Os  0.5000  0.5000  0.5000  6 Dy 2.78

Summary:
final energy = -5.4445 eV/atom
crystal system = cubic
ΔH_f (0 K) = -0.053 eV/atom
V = 171.0 Å³/cell
density of states at the Fermi level = 4.88 states/eV/f.u.

---

# 3
## ThGa4Sn (GGA-PBE)

Data for a relaxed structure of ThGa4Sn.

Unit cell a=5.6501 b=5.6501 c=5.6501 alpha=60.00 beta=60.00 gamma=60.00
Closest atoms and distances in Å follow each position.
Fractional coordinates of all 6 atoms:
Th  0.0000  0.0000  0.0000  12 Ga 3.31, 4 Sn 3.46
Ga  0.3755  0.3755  0.3755  6 Ga 2.81-2.84
Ga  0.3755  0.3755  0.8735  6 Ga 2.81-2.84
Ga  0.3755  0.8735  0.3755  6 Ga 2.81-2.84
Ga  0.8735  0.3755  0.3755  6 Ga 2.81-2.84
Sn  0.7500  0.7500  0.7500  12 Ga 3.31, 4 Th 3.46

Summary:
final energy = -4.1328 eV/atom
crystal system = cubic
ΔH_f (0 K) = -0.211 eV/atom
V = 127.5 Å³/cell
density of states at the Fermi level = 4.48 states/eV/f.u.